--- i ---
! KCdSn | the Alexandria database | PBE-GGA | relaxed; values from VASP
&SYSTEM
  ibrav = 0, nat = 3, ntyp = 3
/
ATOMIC_SPECIES
K 39.10 K.upf
Cd 112.41 Cd.upf
Sn 118.71 Sn.upf
CELL_PARAMETERS angstrom
5.1923 0.0000 0.0000
-2.5962 4.4967 0.0000
0.0000 0.0000 4.0412
ATOMIC_POSITIONS angstrom
K 0.0000 0.0000 0.0000
Cd 0.0000 2.9978 2.0206
Sn 2.5962 1.4989 2.0206
! Spin magnetization in μB per formula unit: 0.00
! Space-group type: P-6m2 (187)
! Volume in Å³ per cell: 94.4
! D(E_F) in states/eV/cell: 0.98

=====

--- ii ---
! KCdSn | the Alexandria database | PBE-GGA | relaxed; values from VASP
&SYSTEM
  ibrav = 0, nat = 6, ntyp = 3
/
ATOMIC_SPECIES
K 39.10 K.upf
Cd 112.41 Cd.upf
Sn 118.71 Sn.upf
CELL_PARAMETERS angstrom
5.2882 0.0000 0.0000
2.6189 4.6822 0.0000
0.3147 1.1400 7.8839
ATOMIC_POSITIONS angstrom
K 1.4598 1.3559 2.9516
K 6.7620 4.4663 4.9323
Cd 1.5221 1.4055 6.9222
Cd 6.6997 4.4166 0.9617
Sn 4.0977 2.9430 1.3799
Sn 4.1241 2.8791 6.5040
! Spin magnetization in μB per formula unit: 0.00
! Space-group type: P-1 (2)
! Volume in Å³ per cell: 195.2
! D(E_F) in states/eV/cell: 0.78

=====

Least stable: ii

=====

--- i ---
! KCdSn | the Alexandria database | PBE-GGA | relaxed; values from VASP
&SYSTEM
  ibrav = 0, nat = 3, ntyp = 3
/
ATOMIC_SPECIES
K 39.10 K.upf
Cd 112.41 Cd.upf
Sn 118.71 Sn.upf
CELL_PARAMETERS angstrom
-2.0609 2.0609 6.1808
2.0609 -2.0609 6.1808
2.0609 2.0609 -6.1808
ATOMIC_POSITIONS angstrom
K 0.0000 0.0000 0.0000
Cd 0.0000 0.0000 8.8767
Sn 0.0000 0.0000 3.5595
! Spin magnetization in μB per formula unit: 0.00
! Space-group type: I4mm (107)
! Volume in Å³ per cell: 105.0
! D(E_F) in states/eV/cell: 2.17

=====

--- ii ---
! KCdSn | the Alexandria database | PBE-GGA | relaxed; values from VASP
&SYSTEM
  ibrav = 0, nat = 12, ntyp = 3
/
ATOMIC_SPECIES
K 39.10 K.upf
Cd 112.41 Cd.upf
Sn 118.71 Sn.upf
CELL_PARAMETERS angstrom
6.6160 0.0000 0.0000
-0.2326 6.9779 0.0000
-0.4002 -2.5746 8.4964
ATOMIC_POSITIONS angstrom
K -0.1535 1.6450 2.6090
K 1.8299 5.8560 1.2762
K 4.1533 -1.4527 7.2201
K 6.1367 2.7584 5.8873
Cd 0.9504 -0.8777 5.1096
Cd 3.1225 2.5191 1.7279
Cd 2.8607 1.8842 6.7685
Cd 5.0328 5.2810 3.3867
Sn 0.7275 0.1585 8.0016
Sn 2.6604 3.7710 4.4161
Sn 3.3227 0.6323 4.0803
Sn 5.2557 4.2449 0.4948
! Spin magnetization in μB per formula unit: 0.00
! Space-group type: P-1 (2)
! Volume in Å³ per cell: 392.2
! D(E_F) in states/eV/cell: 5.77

=====

--- iii ---
! KCdSn | the Alexandria database | PBE-GGA | relaxed; values from VASP
&SYSTEM
  ibrav = 0, nat = 12, ntyp = 3
/
ATOMIC_SPECIES
K 39.10 K.upf
Cd 112.41 Cd.upf
Sn 118.71 Sn.upf
CELL_PARAMETERS angstrom
8.6424 0.0000 0.0000
0.0000 5.0894 0.0000
0.0000 0.0000 8.6269
ATOMIC_POSITIONS angstrom
K 0.0241 1.2723 1.5541
K 4.2971 3.8170 5.8675
K 4.3453 1.2723 2.7594
K 8.6183 3.8170 7.0728
Cd 1.5159 3.8170 3.5595
Cd 2.8053 1.2723 7.8729
Cd 5.8371 3.8170 0.7539
Cd 7.1265 1.2723 5.0674
Sn 1.5506 1.2723 5.1174
Sn 2.7706 3.8170 0.8039
Sn 5.8718 1.2723 7.8230
Sn 7.0918 3.8170 3.5095
! Spin magnetization in μB per formula unit: 0.00
! Space-group type: Pnma (62)
! Volume in Å³ per cell: 379.4
! D(E_F) in states/eV/cell: 9.35

=====

Least stable: i

=====

--- i ---
! K2Cd3Sn5 | the Alexandria database | PBE-GGA | relaxed; values from VASP
&SYSTEM
  ibrav = 0, nat = 10, ntyp = 3
/
ATOMIC_SPECIES
K 39.10 K.upf
Cd 112.41 Cd.upf
Sn 118.71 Sn.upf
CELL_PARAMETERS angstrom
5.0796 0.0000 0.0000
0.0000 5.0796 0.0000
0.0000 0.0000 12.2653
ATOMIC_POSITIONS angstrom
K 0.0000 2.5398 2.9341
K 2.5398 0.0000 9.3312
Cd 0.0000 0.0000 0.0000
Cd 0.0000 2.5398 10.7274
Cd 2.5398 0.0000 1.5379
Sn 0.0000 0.0000 6.1327
Sn 0.0000 2.5398 7.8124
Sn 2.5398 0.0000 4.4529
Sn 2.5398 2.5398 0.0000
Sn 2.5398 2.5398 6.1327
! Spin magnetization in μB per formula unit: 0.00
! Space-group type: P-4m2 (115)
! Volume in Å³ per cell: 316.5
! D(E_F) in states/eV/cell: 3.18

=====

--- ii ---
! K2Cd3Sn5 | the Alexandria database | PBE-GGA | relaxed; values from VASP
&SYSTEM
  ibrav = 0, nat = 20, ntyp = 3
/
ATOMIC_SPECIES
K 39.10 K.upf
Cd 112.41 Cd.upf
Sn 118.71 Sn.upf
CELL_PARAMETERS angstrom
7.1427 -7.0461 0.0000
7.1427 7.0461 0.0000
-3.4649 0.0000 6.1444
ATOMIC_POSITIONS angstrom
K 2.6995 1.7569 1.5332
K 0.9670 -1.7569 4.6054
K 9.8534 1.7569 1.5390
K 8.1209 -1.7569 4.6112
Cd -0.2725 1.7549 3.9094
Cd 1.4600 -1.7549 0.8372
Cd 6.2764 0.0051 1.5361
Cd 4.5439 -0.0052 4.6083
Cd 9.3604 1.7549 5.3072
Cd 11.0929 -1.7549 2.2350
Sn 6.2764 -7.0393 1.5361
Sn 4.5439 7.0393 4.6083
Sn 2.2178 1.7266 5.3087
Sn 4.5439 3.5178 4.6083
Sn 6.2764 3.5016 1.5361
Sn 3.9503 -1.7266 2.2365
Sn 6.8701 1.7266 3.9079
Sn 4.5439 -3.5016 4.6083
Sn 6.2764 -3.5178 1.5361
Sn 8.6025 -1.7266 0.8357
! Spin magnetization in μB per formula unit: 0.00
! Space-group type: C2/c (15)
! Volume in Å³ per cell: 618.5
! D(E_F) in states/eV/cell: 7.33

=====

Least stable: i

=====

--- i ---
! KSrCd2 | the Alexandria database | PBE-GGA | relaxed; values from VASP
&SYSTEM
  ibrav = 0, nat = 4, ntyp = 3
/
ATOMIC_SPECIES
K 39.10 K.upf
Sr 87.62 Sr.upf
Cd 112.41 Cd.upf
CELL_PARAMETERS angstrom
0.0000 3.9830 3.9830
3.9830 0.0000 3.9830
3.9830 3.9830 0.0000
ATOMIC_POSITIONS angstrom
K 0.0000 0.0000 0.0000
Sr 1.9915 1.9915 1.9915
Cd 3.9830 3.9830 3.9830
Cd 5.9745 5.9745 5.9745
! Spin magnetization in μB per formula unit: 0.00
! Space-group type: F-43m (216)
! Volume in Å³ per cell: 126.4
! D(E_F) in states/eV/cell: 4.58

=====

--- ii ---
! KSrCd2 | the Alexandria database | PBE-GGA | relaxed; values from VASP
&SYSTEM
  ibrav = 0, nat = 4, ntyp = 3
/
ATOMIC_SPECIES
K 39.10 K.upf
Sr 87.62 Sr.upf
Cd 112.41 Cd.upf
CELL_PARAMETERS angstrom
-2.0388 2.9349 5.9283
2.0388 -2.9349 5.9283
2.0388 2.9349 -5.9283
ATOMIC_POSITIONS angstrom
K 0.0000 0.0000 0.0000
Sr 0.0000 2.9349 2.4105
Cd 2.0388 0.0000 3.1329
Cd 0.0000 0.0000 5.3354
! Spin magnetization in μB per formula unit: 0.00
! Space-group type: Imm2 (44)
! Volume in Å³ per cell: 141.9
! D(E_F) in states/eV/cell: 3.27

=====

--- iii ---
! KSrCd2 | the Alexandria database | PBE-GGA | relaxed; values from VASP
&SYSTEM
  ibrav = 0, nat = 4, ntyp = 3
/
ATOMIC_SPECIES
K 39.10 K.upf
Sr 87.62 Sr.upf
Cd 112.41 Cd.upf
CELL_PARAMETERS angstrom
2.2375 1.2918 9.5463
-2.2375 1.2918 9.5463
0.0000 -2.5836 9.5463
ATOMIC_POSITIONS angstrom
K 0.0000 0.0000 0.0000
Sr 0.0000 0.0000 14.3195
Cd 0.0000 0.0000 7.0129
Cd 0.0000 0.0000 21.6261
! Spin magnetization in μB per formula unit: 0.00
! Space-group type: R-3m (166)
! Volume in Å³ per cell: 165.6
! D(E_F) in states/eV/cell: 3.83

=====

Least stable: iii

=====

--- i ---
! KSrCd2 | the Alexandria database | PBE-GGA | relaxed; values from VASP
&SYSTEM
  ibrav = 0, nat = 4, ntyp = 3
/
ATOMIC_SPECIES
K 39.10 K.upf
Sr 87.62 Sr.upf
Cd 112.41 Cd.upf
CELL_PARAMETERS angstrom
6.4576 -1.8961 0.0000
6.4576 1.8961 0.0000
-1.9343 0.0000 5.7532
ATOMIC_POSITIONS angstrom
K 0.0000 0.0000 0.0000
Sr 1.3250 0.0000 3.6752
Cd 4.8851 0.0000 2.6846
Cd 9.4543 0.0000 1.0418
! Spin magnetization in μB per formula unit: 0.00
! Space-group type: Cm (8)
! Volume in Å³ per cell: 140.9
! D(E_F) in states/eV/cell: 3.30

=====

--- ii ---
! KSrCd2 | the Alexandria database | PBE-GGA | relaxed; values from VASP
&SYSTEM
  ibrav = 0, nat = 4, ntyp = 3
/
ATOMIC_SPECIES
K 39.10 K.upf
Sr 87.62 Sr.upf
Cd 112.41 Cd.upf
CELL_PARAMETERS angstrom
4.0654 0.0000 0.0000
0.0000 4.0654 0.0000
0.0000 0.0000 8.7991
ATOMIC_POSITIONS angstrom
K 0.0000 0.0000 0.0000
Sr 0.0000 0.0000 4.3996
Cd 2.0327 2.0327 2.4508
Cd 2.0327 2.0327 6.3483
! Spin magnetization in μB per formula unit: 0.00
! Space-group type: P4/mmm (123)
! Volume in Å³ per cell: 145.4
! D(E_F) in states/eV/cell: 2.68

=====

Least stable: i

=====

--- i ---
! KSrCd2 | the Alexandria database | PBE-GGA | relaxed; values from VASP
&SYSTEM
  ibrav = 0, nat = 4, ntyp = 3
/
ATOMIC_SPECIES
K 39.10 K.upf
Sr 87.62 Sr.upf
Cd 112.41 Cd.upf
CELL_PARAMETERS angstrom
0.0000 4.1422 4.1422
4.1422 0.0000 4.1422
4.1422 4.1422 0.0000
ATOMIC_POSITIONS angstrom
K 0.0000 0.0000 0.0000
Sr 4.1422 4.1422 4.1422
Cd 2.0711 2.0711 2.0711
Cd 6.2133 6.2133 6.2133
! Spin magnetization in μB per formula unit: 0.00
! Space-group type: Fm-3m (225)
! Volume in Å³ per cell: 142.1
! D(E_F) in states/eV/cell: 4.13

=====

--- ii ---
! KSrCd2 | the Alexandria database | PBE-GGA | relaxed; values from VASP
&SYSTEM
  ibrav = 0, nat = 4, ntyp = 3
/
ATOMIC_SPECIES
K 39.10 K.upf
Sr 87.62 Sr.upf
Cd 112.41 Cd.upf
CELL_PARAMETERS angstrom
-2.5189 2.5189 5.5050
2.5189 -2.5189 5.5050
2.5189 2.5189 -5.5050
ATOMIC_POSITIONS angstrom
K 0.0000 0.0000 0.0000
Sr 2.5189 0.0000 2.7525
Cd 0.0000 0.0000 5.5050
Cd 0.0000 2.5189 2.7525
! Spin magnetization in μB per formula unit: 0.00
! Space-group type: I-4m2 (119)
! Volume in Å³ per cell: 139.7
! D(E_F) in states/eV/cell: 2.24

=====

Least stable: ii